Entry 1:
{"formula": "KLa2As2", "functional": "GGA-PBEsol", "state": "relaxed", "n_ef_per_ev_atom": 0.578, "formation_energy_ev_per_fu": -3.5, "lattice_angstrom": [[-2.584, 2.584, 7.172], [2.584, -2.584, 7.172], [2.584, 2.584, -7.172]], "species": ["K", "La", "La", "As", "As"], "frac_coords": [[0.000, 0.000, 0.000], [0.250, 0.750, 0.500], [0.750, 0.250, 0.500], [0.353, 0.353, 0.000], [0.647, 0.647, 0.000]]}

Entry 2:
{"formula": "BeIn2Cu", "functional": "GGA-PBEsol", "state": "relaxed", "n_ef_per_ev_atom": 0.340, "formation_energy_ev_per_fu": 1.5, "lattice_angstrom": [[-1.994, 1.994, 4.208], [1.994, -1.994, 4.208], [1.994, 1.994, -4.208]], "species": ["Be", "In", "In", "Cu"], "frac_coords": [[0.000, 0.000, 0.000], [0.250, 0.750, 0.500], [0.500, 0.500, 0.000], [0.750, 0.250, 0.500]]}